# Rb3CaCr2F9

Crystalline Rb3CaCr2F9 at its relaxed geometry (PBE+U, Alexandria).

Properties
E (eV per atom): -5.3350

```
Rb3CaCr2F9
1.0
6.146 0.000 0.000
-3.073 5.323 0.000
0.000 0.000 7.534
Rb Ca Cr F
3 1 2 9
Cartesian
0.000 0.000 0.000 Rb
0.000 3.549 5.045 Rb
3.073 1.774 2.490 Rb
0.000 0.000 3.767 Ca
0.000 3.549 1.192 Cr
3.073 1.774 6.343 Cr
-1.537 2.661 0.000 F
0.000 1.824 2.445 F
-1.494 4.411 2.445 F
1.579 0.912 5.089 F
3.073 0.000 0.000 F
1.537 2.661 0.000 F
1.494 4.411 2.445 F
4.567 0.912 5.089 F
3.073 3.499 5.089 F
```